# 1
4
Lattice="-2.5835 1.4198 2.6980 -3.4200 -1.9426 0.7069 -0.5279 -1.9203 3.4646" Properties=species:S:1:pos:R:3 comment="TiFeCoSi, relaxed, DFT PBEsol" raw_formation_energy_ev_per_atom=-0.73 vol_a3_per_atom=11.3 pbc="T T T"
Si 0.0000 0.0000 0.0000
Co -1.6329 -0.6108 1.7174
Fe -4.8986 -1.8323 5.1522
Ti -3.2657 -1.2215 3.4348

=====

# 2
19
Lattice="-5.0854 3.0878 1.8131 -2.1568 -4.2939 3.9490 2.3825 2.4490 5.1971" Properties=species:S:1:pos:R:3 comment="Sm2Fe4Co13, relaxed, DFT PBEsol" ef_ev_per_fu=-1.0 vol_a3_per_atom=12.4 pbc="T T T"
Sm -3.1901 0.8160 7.1941
Sm -1.6712 0.4275 3.7688
Fe -3.7842 3.3611 8.9855
Fe -6.0261 0.0308 8.3691
Fe -2.3377 -0.2847 10.0404
Fe -0.4560 0.1166 1.0284
Co -1.9193 -1.6600 8.1732
Co -1.8625 3.4155 7.6228
Co -5.9369 0.7303 6.1206
Co -0.6166 0.2752 8.5314
Co -4.0058 3.5989 6.6515
Co -5.0963 -1.3883 6.7336
Co -2.7589 -1.7323 5.7614
Co -0.4751 1.6603 6.3894
Co -4.2324 1.9817 4.6867
Co -2.1076 2.9566 5.2092
Co -4.3723 -0.4076 4.5865
Co -0.6464 -0.7263 6.2748
Co -4.3912 1.1232 9.9025

=====

# 3
12
Lattice="-2.5116 2.5295 -2.3049 -2.4218 -4.1020 -1.8628 -5.9932 0.3898 6.9584" Properties=species:S:1:pos:R:3 comment="FeCoSn2, relaxed, DFT PBEsol" ef_ev_per_fu=-0.3 vol_a3_per_atom=16.6 pbc="T T T"
Fe -4.2075 -1.8561 2.5478
Fe -1.2109 -2.0510 -0.9314
Fe -2.9966 0.1949 3.4792
Co -5.1303 -0.7694 4.7460
Co -3.2847 -2.9428 0.3496
Co 0.0000 0.0000 0.0000
Sn -7.3410 0.5944 4.7428
Sn -5.5435 -1.6516 0.3192
Sn -3.5856 -1.7772 -1.9521
Sn -5.3831 0.4688 2.4716
Sn -2.0853 -0.8991 1.2856
Sn -6.3297 -2.8132 3.8100

=====

Fermi-level density of states values (in states/eV/cell) by entry order: 2.00 21.38 9.88.